# 1
Here is a relaxed CsV3Os crystal from Alexandria via LeMat-Bulk. Energies are from PBE-GGA.

E_form: 1.227 eV/atom
SG: Pm-3m
crystal system: cubic
relative energy among the computed polymorphs: 0.0 meV per atom

Cell: 4.947 4.947 4.947 Å, 90.00 90.00 90.00°
Element x y z (fractional)
Cs (0.000, 0.000, 0.000)
V (0.000, 0.500, 0.500)
V (0.500, 0.000, 0.500)
V (0.500, 0.500, 0.000)
Os (0.500, 0.500, 0.500)


# 2
Here is a relaxed La4TbN5 crystal from Alexandria via LeMat-Bulk. Energies are from PBE-GGA.

SG: I4
crystal system: tetragonal
formation energy from raw total energies: -1.376 eV per atom

Cell: 6.373 6.373 6.373 Å, 100.62 100.62 129.15°
Element x y z (fractional)
La (0.102, 0.299, 0.401)
La (0.299, 0.898, 0.196)
La (0.701, 0.102, 0.804)
La (0.898, 0.701, 0.599)
Tb (0.505, 0.505, 0.000)
N (0.163, 0.550, 0.805)
N (0.359, 0.163, 0.613)
N (0.550, 0.746, 0.387)
N (0.746, 0.359, 0.195)
N (0.925, 0.925, 0.000)